First-principles (PBE-GGA) data for a relaxed structure of ZnHgSb, as listed in Alexandria via LeMat-Bulk.

The formation energy (no corrections) comes out at 0.052 eV/atom. The calculation puts the density of states at the Fermi level at 0.9 states/eV/f.u. Its size of the total moment is 0.0 Bohr magnetons per cell. For the relative energy among the computed polymorphs, the calculation gives 30 meV per atom.

The structure belongs to space group P2_1/m (No. 11); the cell edges are 4.0936, 4.0897 and 9.4690 Å and the angles 90.00°, 100.84° and 90.00°. The inequivalent atoms are Zn at (0.2479, 0.2500, 0.0004), Hg at (0.3688, 0.7500, 0.3836) and Sb at (0.1638, 0.7500, 0.7981).